DFT (PBE) results for an optimized crystal structure of ScCd2Ag.

abc: 3.2189 3.2189 28.7801
angles: 90.00 90.00 120.00
Closest atoms and distances in Å follow each position.
Space group R-3m (No. 166, hexagonal axes)
Unique sites:
Sc 0.0000 0.0000 0.0000 x3  6 Cd 3.10, 6 Sc 3.22
Cd 0.0000 0.0000 0.2470 x6  3 Ag 2.97, 3 Sc 3.10, 6 Cd 3.22
Ag 0.0000 0.0000 0.5000 x3  6 Cd 2.97, 6 Ag 3.22

magnetic moment	0.00	μB/cell
formation enthalpy at 0 K	-5.8	kJ per mole of atoms
crystal system	trigonal